Density functional theory data (meta-GGA SCAN) for a crystal of MgBe2CdGe relaxed with PBEsol.

abc: 4.553 4.553 4.972
angles: 90.00 90.00 90.00
Fractional coordinates of all 5 atoms:
1 Mg 0.000 0.000 0.000
2 Be 0.000 0.500 0.000
3 Be 0.500 0.000 0.000
4 Cd 0.500 0.500 0.500
5 Ge 0.000 0.000 0.500

Values from the calculation:
The calculated formation energy comes out at 1.207 eV per atom. The value obtained for the density of states at the Fermi level is 2.119 states/eV/f.u. The space group is P4/mmm, No. 123. The calculation puts the total magnetization at 0.0 Bohr magnetons per cell.


Density functional theory data (meta-GGA SCAN) for a crystal of BeCd2GeN relaxed with PBEsol.

abc: 5.257 5.257 3.001
angles: 90.00 90.00 90.00
Fractional coordinates of all 5 atoms:
1 Be 0.000 0.000 0.000
2 Cd 0.000 0.500 0.000
3 Cd 0.500 0.000 0.000
4 Ge 0.500 0.500 0.500
5 N 0.000 0.000 0.500

Values from the calculation:
Its formation energy without anion corrections is 1.05 eV per formula unit. The value obtained for the density of states at the Fermi level is 1.343 states/eV/f.u. The space group is P4/mmm, No. 123. The calculation puts the total magnetization at 0.0 Bohr magnetons per cell.


Density functional theory data (meta-GGA SCAN) for a crystal of Sc2BeCdGe relaxed with PBEsol.

abc: 4.723 4.723 4.377
angles: 90.00 90.00 90.00
Fractional coordinates of all 5 atoms:
1 Sc 0.000 0.500 0.000
2 Sc 0.500 0.000 0.000
3 Be 0.000 0.000 0.000
4 Cd 0.000 0.000 0.500
5 Ge 0.500 0.500 0.500

Values from the calculation:
The calculated formation energy comes out at 0.041 eV per atom. The value obtained for the density of states at the Fermi level is 3.732 states/eV/f.u. The space group is P4/mmm, No. 123. The calculation puts the total magnetization at 0.0 Bohr magnetons per cell.


Density functional theory data (meta-GGA SCAN) for a crystal of Ta2BeCdGe relaxed with PBEsol.

abc: 5.001 5.001 4.026
angles: 90.00 90.00 90.00
Fractional coordinates of all 5 atoms:
1 Ta 0.000 0.500 0.000
2 Ta 0.500 0.000 0.000
3 Be 0.000 0.000 0.500
4 Cd 0.000 0.000 0.000
5 Ge 0.500 0.500 0.500

Values from the calculation:
The calculated formation energy comes out at 1.756 eV per atom. The value obtained for the density of states at the Fermi level is 4.442 states/eV/f.u. The space group is P4/mmm, No. 123. The calculation puts the total magnetization at 0.0 Bohr magnetons per cell.


Density functional theory data (meta-GGA SCAN) for a crystal of Be2CdH relaxed with PBEsol.

abc: 4.436 4.436 8.568
angles: 90.00 90.00 90.00
Fractional coordinates of all 16 atoms:
1 Be 0.000 0.000 0.000
2 Be 0.000 0.500 0.000
3 Be 0.250 0.250 0.750
4 Be 0.250 0.750 0.250
5 Be 0.500 0.000 0.500
6 Be 0.500 0.500 0.500
7 Be 0.750 0.250 0.750
8 Be 0.750 0.750 0.250
9 Cd 0.000 0.250 0.375
10 Cd 0.000 0.750 0.625
11 Cd 0.500 0.250 0.125
12 Cd 0.500 0.750 0.875
13 H 0.000 0.250 0.875
14 H 0.000 0.750 0.125
15 H 0.500 0.250 0.625
16 H 0.500 0.750 0.375

Values from the calculation:
The value obtained for the density of states at the Fermi level is 0.631 states/eV/f.u. The space group is I4_1/amd, No. 141. The value obtained for the final energy is -10.25 eV per atom. The calculation puts the total magnetization at 0.0 Bohr magnetons per cell.


Density functional theory data (meta-GGA SCAN) for a crystal of BeCd2SbH relaxed with PBEsol.

abc: 5.154 5.154 3.287
angles: 90.00 90.00 90.00
Fractional coordinates of all 5 atoms:
1 Be 0.000 0.000 0.000
2 Cd 0.000 0.500 0.500
3 Cd 0.500 0.000 0.500
4 Sb 0.500 0.500 0.000
5 H 0.000 0.000 0.500

Values from the calculation:
The value obtained for the density of states at the Fermi level is 1.843 states/eV/f.u. The space group is P4/mmm, No. 123. The value obtained for the final energy is -20.66 eV per atom. The calculation puts the total magnetization at 0.0 Bohr magnetons per cell.


Density functional theory data (meta-GGA SCAN) for a crystal of Be2CdHg relaxed with PBEsol.

abc: 7.143 4.182 4.609
angles: 90.00 100.41 90.00
Fractional coordinates of all 8 atoms:
1 Be 0.170 0.000 0.034
2 Be 0.330 0.500 0.966
3 Be 0.670 0.500 0.034
4 Be 0.830 0.000 0.966
5 Cd 0.000 0.000 0.500
6 Cd 0.500 0.500 0.500
7 Hg 0.000 0.500 0.000
8 Hg 0.500 0.000 0.000

Values from the calculation:
The calculated formation energy comes out at 0.224 eV per atom. The value obtained for the density of states at the Fermi level is 0.995 states/eV/f.u. The space group is C2/m, No. 12. The calculation puts the total magnetization at 0.0 Bohr magnetons per cell.


Density functional theory data (meta-GGA SCAN) for a crystal of BeCdHg relaxed with PBEsol.

abc: 2.823 5.797 13.315
angles: 90.00 90.00 90.00
Fractional coordinates of all 12 atoms:
1 Be 0.000 0.000 0.000
2 Be 0.000 0.500 0.500
3 Be 0.500 0.000 0.500
4 Be 0.500 0.500 0.000
5 Cd 0.000 0.000 0.344
6 Cd 0.000 0.500 0.844
7 Cd 0.500 0.000 0.844
8 Cd 0.500 0.500 0.344
9 Hg 0.000 0.000 0.650
10 Hg 0.000 0.500 0.150
11 Hg 0.500 0.000 0.150
12 Hg 0.500 0.500 0.650

Values from the calculation:
The calculated formation energy comes out at 0.331 eV per atom. The value obtained for the density of states at the Fermi level is 0.714 states/eV/f.u. The space group is Fmm2, No. 42. The calculation puts the total magnetization at 0.0 Bohr magnetons per cell.


Density functional theory data (meta-GGA SCAN) for a crystal of BeCdHg relaxed with PBEsol.

abc: 4.302 4.302 3.283
angles: 90.00 90.00 120.00
Fractional coordinates of all 3 atoms:
1 Be 0.000 0.000 0.000
2 Cd 0.667 0.333 0.500
3 Hg 0.333 0.667 0.000

Values from the calculation:
The calculated formation energy comes out at 0.282 eV per atom. The value obtained for the density of states at the Fermi level is 0.767 states/eV/f.u. The space group is P-6m2, No. 187. The calculation puts the total magnetization at 0.0 Bohr magnetons per cell.


Density functional theory data (meta-GGA SCAN) for a crystal of Be2CdHg relaxed with PBEsol.

abc: 5.495 8.383 3.132
angles: 90.00 116.89 90.00
Fractional coordinates of all 8 atoms:
1 Be 0.250 0.250 0.000
2 Be 0.250 0.750 0.000
3 Be 0.750 0.250 0.000
4 Be 0.750 0.750 0.000
5 Cd 0.000 0.000 0.000
6 Cd 0.500 0.500 0.000
7 Hg 0.000 0.500 0.000
8 Hg 0.500 0.000 0.000

Values from the calculation:
The calculated formation energy comes out at 0.444 eV per atom. The value obtained for the density of states at the Fermi level is 0.898 states/eV/f.u. The space group is C2/m, No. 12. The calculation puts the total magnetization at 0.0 Bohr magnetons per cell.


Density functional theory data (meta-GGA SCAN) for a crystal of BeCdHg relaxed with PBEsol.

abc: 6.237 6.237 6.237
angles: 90.00 90.00 90.00
Fractional coordinates of all 12 atoms:
1 Be 0.000 0.000 0.000
2 Be 0.000 0.500 0.500
3 Be 0.500 0.000 0.500
4 Be 0.500 0.500 0.000
5 Cd 0.250 0.250 0.750
6 Cd 0.250 0.750 0.250
7 Cd 0.750 0.250 0.250
8 Cd 0.750 0.750 0.750
9 Hg 0.000 0.000 0.500
10 Hg 0.000 0.500 0.000
11 Hg 0.500 0.000 0.000
12 Hg 0.500 0.500 0.500

Values from the calculation:
The calculated formation energy comes out at 0.539 eV per atom. The value obtained for the density of states at the Fermi level is 1.204 states/eV/f.u. The space group is F-43m, No. 216. The calculation puts the total magnetization at 0.0 Bohr magnetons per cell.


Density functional theory data (meta-GGA SCAN) for a crystal of Be2CdHg relaxed with PBEsol.

abc: 3.832 3.832 8.102
angles: 90.00 90.00 90.00
Fractional coordinates of all 8 atoms:
1 Be 0.000 0.000 0.000
2 Be 0.000 0.500 0.250
3 Be 0.500 0.000 0.750
4 Be 0.500 0.500 0.500
5 Cd 0.000 0.000 0.500
6 Cd 0.500 0.500 0.000
7 Hg 0.000 0.500 0.750
8 Hg 0.500 0.000 0.250

Values from the calculation:
The calculated formation energy comes out at 0.445 eV per atom. The value obtained for the density of states at the Fermi level is 0.935 states/eV/f.u. The space group is I-4m2, No. 119. The calculation puts the total magnetization at 0.0 Bohr magnetons per cell.


- What is the formula in the second record?
  BeCd2GeN


- Which of these has the highest density of states at the Fermi level?
  Ta2BeCdGe


Copy entry 6 word for word.
Density functional theory data (meta-GGA SCAN) for a crystal of BeCd2SbH relaxed with PBEsol.

abc: 5.154 5.154 3.287
angles: 90.00 90.00 90.00
Fractional coordinates of all 5 atoms:
1 Be 0.000 0.000 0.000
2 Cd 0.000 0.500 0.500
3 Cd 0.500 0.000 0.500
4 Sb 0.500 0.500 0.000
5 H 0.000 0.000 0.500

Values from the calculation:
The value obtained for the density of states at the Fermi level is 1.843 states/eV/f.u. The space group is P4/mmm, No. 123. The value obtained for the final energy is -20.66 eV per atom. The calculation puts the total magnetization at 0.0 Bohr magnetons per cell.